First-principles (PBE) data for Sc3CO2 after structural relaxation, as listed in Alexandria.

The structure in CIF format:
```
data_Sc3CO2
_space_group_name_H-M_alt 'P 1'
_space_group_IT_number 1
_cell_length_a 5.5728
_cell_length_b 5.5728
_cell_length_c 5.5728
_cell_angle_alpha 146.38
_cell_angle_beta 132.04
_cell_angle_gamma 59.85
loop_
_space_group_symop_operation_xyz
'x,y,z'
loop_
_atom_site_label
_atom_site_type_symbol
_atom_site_fract_x
_atom_site_fract_y
_atom_site_fract_z
_atom_site_occupancy
Sc1 Sc 0.0000 0.0000 0.0000 1
Sc2 Sc 0.3395 0.3395 0.0000 1
Sc3 Sc 0.6605 0.6605 0.0000 1
C1 C 0.5000 0.0000 0.5000 1
O1 O 0.1665 0.6665 0.5000 1
O2 O 0.8335 0.3335 0.5000 1
```

Values from the calculation:
- total magnetic moment (μB per formula unit) = 0.000
- symmetry = No. 71
- formation energy without anion corrections (eV/atom) = -2.325



First-principles (PBE) data for K3Ca2AgCl9 after structural relaxation, as listed in Alexandria.

The structure in CIF format:
```
data_K3Ca2AgCl9
_space_group_name_H-M_alt 'P 1'
_space_group_IT_number 1
_cell_length_a 7.5010
_cell_length_b 7.5010
_cell_length_c 9.3521
_cell_angle_alpha 90.00
_cell_angle_beta 90.00
_cell_angle_gamma 120.00
loop_
_space_group_symop_operation_xyz
'x,y,z'
loop_
_atom_site_label
_atom_site_type_symbol
_atom_site_fract_x
_atom_site_fract_y
_atom_site_fract_z
_atom_site_occupancy
K1 K 0.0000 0.0000 0.0000 1
K2 K 0.3333 0.6667 0.6342 1
K3 K 0.6667 0.3333 0.3658 1
Ca1 Ca 0.3333 0.6667 0.1673 1
Ca2 Ca 0.6667 0.3333 0.8327 1
Ag1 Ag 0.0000 0.0000 0.5000 1
Cl1 Cl 0.0000 0.5000 0.0000 1
Cl2 Cl 0.1659 0.3318 0.3422 1
Cl3 Cl 0.1659 0.8341 0.3422 1
Cl4 Cl 0.3318 0.1659 0.6578 1
Cl5 Cl 0.5000 0.0000 0.0000 1
Cl6 Cl 0.5000 0.5000 0.0000 1
Cl7 Cl 0.6682 0.8341 0.3422 1
Cl8 Cl 0.8341 0.1659 0.6578 1
Cl9 Cl 0.8341 0.6682 0.6578 1
```

Values from the calculation:
- total magnetic moment (μB per formula unit) = 1.093
- symmetry = No. 164
- formation energy without anion corrections (eV/atom) = -1.758



First-principles (PBE) data for Cd2CoNi after structural relaxation, as listed in Alexandria.

The structure in CIF format:
```
data_Cd2CoNi
_space_group_name_H-M_alt 'P 1'
_space_group_IT_number 1
_cell_length_a 4.4250
_cell_length_b 4.4250
_cell_length_c 4.4250
_cell_angle_alpha 119.78
_cell_angle_beta 119.78
_cell_angle_gamma 90.38
loop_
_space_group_symop_operation_xyz
'x,y,z'
loop_
_atom_site_label
_atom_site_type_symbol
_atom_site_fract_x
_atom_site_fract_y
_atom_site_fract_z
_atom_site_occupancy
Cd1 Cd 0.2500 0.7500 0.5000 1
Cd2 Cd 0.7500 0.2500 0.5000 1
Co1 Co 0.0000 0.0000 0.0000 1
Ni1 Ni 0.5000 0.5000 0.0000 1
```

Values from the calculation:
- formation enthalpy at 0 K (eV per atom) = 0.25
- total magnetic moment (μB per formula unit) = 1.020
- symmetry = No. 139
- energy above the most stable polymorph in this dataset (meV per atom) = 90



First-principles (PBE) data for CaTl4Si after structural relaxation, as listed in Alexandria.

The structure in CIF format:
```
data_CaTl4Si
_space_group_name_H-M_alt 'P 1'
_space_group_IT_number 1
_cell_length_a 6.3166
_cell_length_b 6.3166
_cell_length_c 6.3166
_cell_angle_alpha 60.00
_cell_angle_beta 60.00
_cell_angle_gamma 60.00
loop_
_space_group_symop_operation_xyz
'x,y,z'
loop_
_atom_site_label
_atom_site_type_symbol
_atom_site_fract_x
_atom_site_fract_y
_atom_site_fract_z
_atom_site_occupancy
Ca1 Ca 0.0000 0.0000 0.0000 1
Tl1 Tl 0.3756 0.3756 0.3756 1
Tl2 Tl 0.3756 0.3756 0.8733 1
Tl3 Tl 0.3756 0.8733 0.3756 1
Tl4 Tl 0.8733 0.3756 0.3756 1
Si1 Si 0.7500 0.7500 0.7500 1
```

Values from the calculation:
- total magnetic moment (μB per formula unit) = 0.000
- symmetry = No. 216
- formation energy without anion corrections (eV/atom) = 0.250



First-principles (PBE) data for TbScTc4 after structural relaxation, as listed in Alexandria.

The structure in CIF format:
```
data_TbScTc4
_space_group_name_H-M_alt 'P 1'
_space_group_IT_number 1
_cell_length_a 5.3396
_cell_length_b 5.3396
_cell_length_c 5.3396
_cell_angle_alpha 60.00
_cell_angle_beta 60.00
_cell_angle_gamma 60.00
loop_
_space_group_symop_operation_xyz
'x,y,z'
loop_
_atom_site_label
_atom_site_type_symbol
_atom_site_fract_x
_atom_site_fract_y
_atom_site_fract_z
_atom_site_occupancy
Tb1 Tb 0.0000 0.0000 0.0000 1
Sc1 Sc 0.2500 0.2500 0.2500 1
Tc1 Tc 0.1258 0.6247 0.6247 1
Tc2 Tc 0.6247 0.1258 0.6247 1
Tc3 Tc 0.6247 0.6247 0.1258 1
Tc4 Tc 0.6247 0.6247 0.6247 1
```

Values from the calculation:
- formation enthalpy at 0 K (eV per atom) = -0.17
- total magnetic moment (μB per formula unit) = 0.000
- symmetry = No. 216



First-principles (PBE) data for CsInSe2 after structural relaxation, as listed in Alexandria.

The structure in CIF format:
```
data_CsInSe2
_space_group_name_H-M_alt 'P 1'
_space_group_IT_number 1
_cell_length_a 6.8593
_cell_length_b 7.7838
_cell_length_c 7.7990
_cell_angle_alpha 61.37
_cell_angle_beta 81.46
_cell_angle_gamma 81.73
loop_
_space_group_symop_operation_xyz
'x,y,z'
loop_
_atom_site_label
_atom_site_type_symbol
_atom_site_fract_x
_atom_site_fract_y
_atom_site_fract_z
_atom_site_occupancy
Cs1 Cs 0.0000 0.0000 0.0000 1
Cs2 Cs 0.4347 0.3407 0.3407 1
In1 In 0.2209 0.5645 0.7782 1
In2 In 0.7209 0.5646 0.7775 1
Se1 Se 0.0112 0.6098 0.5032 1
Se2 Se 0.4320 0.8376 0.7393 1
Se3 Se 0.5045 0.2754 0.8576 1
Se4 Se 0.9355 0.4800 0.0678 1
```

Values from the calculation:
- total magnetic moment (μB per formula unit) = 0.000
- symmetry = No. 1
- formation energy without anion corrections (eV/atom) = -0.920



First-principles (PBE) data for TaPd2S after structural relaxation, as listed in Alexandria.

The structure in CIF format:
```
data_TaPd2S
_space_group_name_H-M_alt 'P 1'
_space_group_IT_number 1
_cell_length_a 6.2835
_cell_length_b 6.2835
_cell_length_c 6.2835
_cell_angle_alpha 121.84
_cell_angle_beta 121.84
_cell_angle_gamma 86.84
loop_
_space_group_symop_operation_xyz
'x,y,z'
loop_
_atom_site_label
_atom_site_type_symbol
_atom_site_fract_x
_atom_site_fract_y
_atom_site_fract_z
_atom_site_occupancy
Ta1 Ta 0.0000 0.0000 0.0000 1
Ta2 Ta 0.7500 0.2500 0.5000 1
Pd1 Pd 0.1394 0.6250 0.0144 1
Pd2 Pd 0.3750 0.3894 0.5144 1
Pd3 Pd 0.6106 0.1250 0.9856 1
Pd4 Pd 0.8750 0.8606 0.4856 1
S1 S 0.2500 0.7500 0.5000 1
S2 S 0.5000 0.5000 0.0000 1
```

Values from the calculation:
- total magnetic moment (μB per formula unit) = 0.000
- symmetry = No. 122
- formation energy without anion corrections (eV/atom) = 0.358



First-principles (PBE) data for CdPIO2 after structural relaxation, as listed in Alexandria.

The structure in CIF format:
```
data_CdPIO2
_space_group_name_H-M_alt 'P 1'
_space_group_IT_number 1
_cell_length_a 4.1253
_cell_length_b 4.1253
_cell_length_c 7.0332
_cell_angle_alpha 90.00
_cell_angle_beta 90.00
_cell_angle_gamma 90.00
loop_
_space_group_symop_operation_xyz
'x,y,z'
loop_
_atom_site_label
_atom_site_type_symbol
_atom_site_fract_x
_atom_site_fract_y
_atom_site_fract_z
_atom_site_occupancy
Cd1 Cd 0.0000 0.0000 0.0000 1
P1 P 0.5000 0.5000 0.5000 1
I1 I 0.0000 0.0000 0.5000 1
O1 O 0.0000 0.5000 0.0000 1
O2 O 0.5000 0.0000 0.0000 1
```

Values from the calculation:
- total magnetic moment (μB per formula unit) = 2.186
- symmetry = No. 123
- formation energy without anion corrections (eV/atom) = 0.532
- energy above the most stable polymorph in this dataset (meV per atom) = 647



First-principles (PBE) data for LaTbNdCo after structural relaxation, as listed in Alexandria.

The structure in CIF format:
```
data_LaTbNdCo
_space_group_name_H-M_alt 'P 1'
_space_group_IT_number 1
_cell_length_a 3.7756
_cell_length_b 3.7807
_cell_length_c 9.5499
_cell_angle_alpha 90.01
_cell_angle_beta 90.00
_cell_angle_gamma 119.66
loop_
_space_group_symop_operation_xyz
'x,y,z'
loop_
_atom_site_label
_atom_site_type_symbol
_atom_site_fract_x
_atom_site_fract_y
_atom_site_fract_z
_atom_site_occupancy
La1 La 0.0000 0.0000 0.0000 1
Tb1 Tb 0.6645 0.3377 0.3162 1
Nd1 Nd 0.6649 0.3380 0.6691 1
Co1 Co 0.9992 0.0018 0.4887 1
```

Values from the calculation:
- formation enthalpy at 0 K (eV per atom) = 0.08
- total magnetic moment (μB per formula unit) = 0.000
- symmetry = No. 1



First-principles (PBE) data for BaNaPmI6 after structural relaxation, as listed in Alexandria.

The structure in CIF format:
```
data_BaNaPmI6
_space_group_name_H-M_alt 'P 1'
_space_group_IT_number 1
_cell_length_a 8.1581
_cell_length_b 8.1581
_cell_length_c 14.9287
_cell_angle_alpha 90.00
_cell_angle_beta 90.00
_cell_angle_gamma 120.00
loop_
_space_group_symop_operation_xyz
'x,y,z'
loop_
_atom_site_label
_atom_site_type_symbol
_atom_site_fract_x
_atom_site_fract_y
_atom_site_fract_z
_atom_site_occupancy
Ba1 Ba 0.0000 0.0000 0.0000 1
Ba2 Ba 0.0000 0.0000 0.5000 1
Na1 Na 0.3333 0.6667 0.2500 1
Na2 Na 0.6667 0.3333 0.7500 1
Pm1 Pm 0.3333 0.6667 0.7500 1
Pm2 Pm 0.6667 0.3333 0.2500 1
I1 I 0.0116 0.3626 0.6301 1
I2 I 0.0116 0.6490 0.8699 1
I3 I 0.3510 0.3626 0.8699 1
I4 I 0.3510 0.9884 0.6301 1
I5 I 0.3626 0.0116 0.1301 1
I6 I 0.3626 0.3510 0.3699 1
I7 I 0.6374 0.6490 0.6301 1
I8 I 0.6374 0.9884 0.8699 1
I9 I 0.6490 0.0116 0.3699 1
I10 I 0.6490 0.6374 0.1301 1
I11 I 0.9884 0.3510 0.1301 1
I12 I 0.9884 0.6374 0.3699 1
```

Values from the calculation:
- total magnetic moment (μB per formula unit) = 0.000
- symmetry = No. 163
- formation energy without anion corrections (eV/atom) = -1.479



First-principles (PBE) data for Sm12NiPd6 after structural relaxation, as listed in Alexandria.

The structure in CIF format:
```
data_Sm12NiPd6
_space_group_name_H-M_alt 'P 1'
_space_group_IT_number 1
_cell_length_a 8.3455
_cell_length_b 8.3455
_cell_length_c 8.3455
_cell_angle_alpha 98.55
_cell_angle_beta 98.55
_cell_angle_gamma 98.55
loop_
_space_group_symop_operation_xyz
'x,y,z'
loop_
_atom_site_label
_atom_site_type_symbol
_atom_site_fract_x
_atom_site_fract_y
_atom_site_fract_z
_atom_site_occupancy
Sm1 Sm 0.0413 0.6830 0.9257 1
Sm2 Sm 0.0743 0.9587 0.3170 1
Sm3 Sm 0.1819 0.4178 0.5782 1
Sm4 Sm 0.3170 0.0743 0.9587 1
Sm5 Sm 0.4178 0.5782 0.1819 1
Sm6 Sm 0.4218 0.8181 0.5822 1
Sm7 Sm 0.5782 0.1819 0.4178 1
Sm8 Sm 0.5822 0.4218 0.8181 1
Sm9 Sm 0.6830 0.9257 0.0413 1
Sm10 Sm 0.8181 0.5822 0.4218 1
Sm11 Sm 0.9257 0.0413 0.6830 1
Sm12 Sm 0.9587 0.3170 0.0743 1
Ni1 Ni 0.0000 0.0000 0.0000 1
Pd1 Pd 0.1295 0.6205 0.3086 1
Pd2 Pd 0.3086 0.1295 0.6205 1
Pd3 Pd 0.3795 0.6914 0.8705 1
Pd4 Pd 0.6205 0.3086 0.1295 1
Pd5 Pd 0.6914 0.8705 0.3795 1
Pd6 Pd 0.8705 0.3795 0.6914 1
```

Values from the calculation:
- formation enthalpy at 0 K (eV per atom) = -0.45
- total magnetic moment (μB per formula unit) = 0.000
- symmetry = No. 148



First-principles (PBE) data for SrMn2Cr after structural relaxation, as listed in Alexandria.

The structure in CIF format:
```
data_SrMn2Cr
_space_group_name_H-M_alt 'P 1'
_space_group_IT_number 1
_cell_length_a 2.9820
_cell_length_b 3.7598
_cell_length_c 7.1015
_cell_angle_alpha 90.00
_cell_angle_beta 100.90
_cell_angle_gamma 90.00
loop_
_space_group_symop_operation_xyz
'x,y,z'
loop_
_atom_site_label
_atom_site_type_symbol
_atom_site_fract_x
_atom_site_fract_y
_atom_site_fract_z
_atom_site_occupancy
Sr1 Sr 0.0000 0.0000 0.0000 1
Mn1 Mn 0.4052 0.5000 0.6604 1
Mn2 Mn 0.5948 0.5000 0.3396 1
Cr1 Cr 0.0000 0.0000 0.5000 1
```

Values from the calculation:
- formation enthalpy at 0 K (eV per atom) = 0.59
- total magnetic moment (μB per formula unit) = 3.540
- symmetry = No. 10
- energy above the most stable polymorph in this dataset (meV per atom) = 160